Entry 1:
The following is a DFT calculation (PBE) of a geometry-optimized Ce2Si2Pd5 structure.

```
Ce2Si2Pd5
1.0
-1.632 3.163 -2.295
-3.595 -0.240 2.225
3.265 5.983 5.924
Pd Ce Si
5 2 2
Direct
0.000 0.500 0.270
0.500 0.000 0.270
0.500 0.000 0.730
0.000 0.500 0.730
0.500 0.500 0.500
0.000 0.000 0.500
0.000 0.000 0.000
0.500 0.500 0.131
0.500 0.500 0.869
```

As for the space group: P4/mmm (123).

=====

Entry 2:
The following is a DFT calculation (PBE) of a geometry-optimized CeSiPd structure.

```
CeSiPd
1.0
5.921 0.000 0.000
-2.961 5.128 0.000
0.000 0.000 13.516
Ce Si Pd
6 6 6
Direct
0.500 0.000 0.965
0.500 0.000 0.368
0.500 0.500 0.299
0.500 0.500 0.701
0.000 0.500 0.632
0.000 0.500 0.035
0.610 0.390 0.500
0.780 0.390 0.833
0.610 0.220 0.167
0.220 0.610 0.833
0.390 0.780 0.167
0.390 0.610 0.500
0.500 0.500 0.000
0.000 0.500 0.333
0.000 0.000 0.500
0.000 0.000 0.167
0.000 0.000 0.833
0.500 0.000 0.667
```

As for the space group: P6_222 (180).

=====

Entry 3:
The following is a DFT calculation (PBE) of a geometry-optimized Ce3Si4Pd structure.

```
Ce3Si4Pd
1.0
4.402 0.000 0.000
0.000 5.842 0.000
-2.201 -2.921 7.157
Ce Si Pd
3 4 1
Direct
0.811 0.811 0.622
0.000 0.500 0.000
0.189 0.189 0.378
0.619 0.414 0.239
0.381 0.586 0.761
0.381 0.175 0.761
0.619 0.825 0.239
0.500 0.000 0.000
```

As for the space group: Immm (71).

=====

Entry 4:
The following is a DFT calculation (PBE) of a geometry-optimized Ce2Si3Pd2 structure.

```
Ce2Si3Pd2
1.0
-0.508 -3.695 -2.068
1.794 -3.427 5.684
-8.402 1.594 3.613
Ce Si Pd
4 6 4
Direct
0.946 0.250 0.891
0.155 0.250 0.309
0.054 0.750 0.109
0.845 0.750 0.691
0.559 0.427 0.117
0.441 0.927 0.883
0.222 0.750 0.444
0.441 0.573 0.883
0.778 0.250 0.556
0.559 0.073 0.117
0.691 0.952 0.382
0.309 0.452 0.618
0.691 0.548 0.382
0.309 0.048 0.618
```

As for the space group: Cmcm (63). The value obtained for the energy above the lowest structure with this stoichiometry is 0.000 eV/atom.

=====

Energy relative to the elements, uncorrected? In order: -839; -1; -577; -852 meV/atom.
D(E_F)? In order: 12.405; 27.636; 13.574; 17.801 states/eV per cell.